[1]
Here is a crystal of NaLiMg30O31 relaxed with PBEsol from Alexandria. Energies are from meta-GGA SCAN.

Lattice parameters (Å, degrees): 8.4567 8.4743 8.4402 90.00 90.00 90.00
Element x y z (fractional)
Na (0.0000, 0.0000, 0.0000)
Li (0.5000, 0.5000, 0.9980)
Mg (0.0000, 0.0000, 0.5033)
Mg (0.0000, 0.2503, 0.7548)
Mg (0.0000, 0.2525, 0.2500)
Mg (0.0000, 0.5000, 0.0010)
Mg (0.0000, 0.5000, 0.5038)
Mg (0.0000, 0.7475, 0.2500)
Mg (0.0000, 0.7497, 0.7548)
Mg (0.2287, 0.0000, 0.2486)
Mg (0.2461, 0.0000, 0.7556)
Mg (0.2503, 0.2502, 0.5019)
Mg (0.2497, 0.5000, 0.2489)
Mg (0.2503, 0.7498, 0.5019)
Mg (0.2513, 0.2525, 0.0028)
Mg (0.2513, 0.7475, 0.0028)
Mg (0.2517, 0.5000, 0.7564)
Mg (0.5000, 0.0000, 0.5218)
Mg (0.5000, 0.0000, 0.9829)
Mg (0.5000, 0.2555, 0.7574)
Mg (0.5000, 0.2729, 0.2464)
Mg (0.5000, 0.5000, 0.5040)
Mg (0.5000, 0.7271, 0.2464)
Mg (0.5000, 0.7445, 0.7574)
Mg (0.7483, 0.5000, 0.7564)
Mg (0.7487, 0.2525, 0.0028)
Mg (0.7487, 0.7475, 0.0028)
Mg (0.7497, 0.2502, 0.5019)
Mg (0.7503, 0.5000, 0.2489)
Mg (0.7497, 0.7498, 0.5019)
Mg (0.7539, 0.0000, 0.7556)
Mg (0.7713, 0.0000, 0.2486)
O (0.0000, 0.0000, 0.2654)
O (0.0000, 0.0000, 0.7389)
O (0.0000, 0.2504, 0.5009)
O (0.0000, 0.2611, 0.0037)
O (0.0000, 0.5000, 0.2560)
O (0.0000, 0.5000, 0.7493)
O (0.0000, 0.7389, 0.0037)
O (0.0000, 0.7496, 0.5009)
O (0.2483, 0.5000, 0.0036)
O (0.2510, 0.5000, 0.5013)
O (0.2516, 0.2480, 0.7520)
O (0.2516, 0.7520, 0.7520)
O (0.2550, 0.2452, 0.2527)
O (0.2550, 0.7548, 0.2527)
O (0.2582, 0.0000, 0.4950)
O (0.2662, 0.0000, 0.0103)
O (0.5000, 0.0000, 0.7512)
O (0.5000, 0.2408, 0.0077)
O (0.5000, 0.2432, 0.4952)
O (0.5000, 0.5000, 0.2605)
O (0.5000, 0.5000, 0.7456)
O (0.5000, 0.7568, 0.4952)
O (0.5000, 0.7592, 0.0077)
O (0.7338, 0.0000, 0.0103)
O (0.7418, 0.0000, 0.4950)
O (0.7450, 0.2452, 0.2527)
O (0.7450, 0.7548, 0.2527)
O (0.7484, 0.2480, 0.7520)
O (0.7484, 0.7520, 0.7520)
O (0.7490, 0.5000, 0.5013)
O (0.7517, 0.5000, 0.0036)

Values from the calculation:
Energy: -8.438 eV/atom
Calculated volume: 604.86 Å³/cell
Uncorrected formation energy: -17620.0 kJ/mol of formula units
Magnetic moment: 0.0 μB/f.u.
Space group: Pmm2, No. 25

***

[2]
Here is a crystal of NaLiMg30O31 relaxed with PBEsol from Alexandria. Energies are from meta-GGA SCAN.

Lattice parameters (Å, degrees): 8.4613 8.4613 8.4355 90.00 90.00 90.00
Element x y z (fractional)
Na (0.0000, 0.0000, 0.0000)
Li (0.5000, 0.5000, 0.9771)
Mg (0.0000, 0.0000, 0.5019)
Mg (0.0000, 0.2462, 0.2485)
Mg (0.0000, 0.2475, 0.7538)
Mg (0.0000, 0.5000, 0.5039)
Mg (0.0000, 0.5000, 0.9978)
Mg (0.0000, 0.7525, 0.7538)
Mg (0.0000, 0.7538, 0.2485)
Mg (0.2306, 0.5000, 0.2470)
Mg (0.2462, 0.0000, 0.2485)
Mg (0.2475, 0.0000, 0.7538)
Mg (0.2501, 0.2501, 0.5013)
Mg (0.2501, 0.7499, 0.5013)
Mg (0.2512, 0.5000, 0.7579)
Mg (0.2517, 0.2517, 0.0013)
Mg (0.2517, 0.7483, 0.0013)
Mg (0.5000, 0.0000, 0.5039)
Mg (0.5000, 0.0000, 0.9978)
Mg (0.5000, 0.2306, 0.2470)
Mg (0.5000, 0.2512, 0.7579)
Mg (0.5000, 0.5000, 0.5219)
Mg (0.5000, 0.7488, 0.7579)
Mg (0.5000, 0.7694, 0.2470)
Mg (0.7483, 0.2517, 0.0013)
Mg (0.7483, 0.7483, 0.0013)
Mg (0.7488, 0.5000, 0.7579)
Mg (0.7499, 0.2501, 0.5013)
Mg (0.7499, 0.7499, 0.5013)
Mg (0.7525, 0.0000, 0.7538)
Mg (0.7538, 0.0000, 0.2485)
Mg (0.7694, 0.5000, 0.2470)
O (0.0000, 0.0000, 0.2638)
O (0.0000, 0.0000, 0.7380)
O (0.0000, 0.2534, 0.4996)
O (0.0000, 0.2628, 0.0027)
O (0.0000, 0.5000, 0.2556)
O (0.0000, 0.5000, 0.7477)
O (0.0000, 0.7372, 0.0027)
O (0.0000, 0.7466, 0.4996)
O (0.2515, 0.2515, 0.7504)
O (0.2507, 0.5000, 0.0063)
O (0.2515, 0.7485, 0.7504)
O (0.2534, 0.0000, 0.4996)
O (0.2553, 0.2553, 0.2518)
O (0.2553, 0.7447, 0.2518)
O (0.2571, 0.5000, 0.4939)
O (0.2628, 0.0000, 0.0027)
O (0.5000, 0.0000, 0.2556)
O (0.5000, 0.0000, 0.7477)
O (0.5000, 0.2507, 0.0063)
O (0.5000, 0.2571, 0.4939)
O (0.5000, 0.5000, 0.7517)
O (0.5000, 0.7429, 0.4939)
O (0.5000, 0.7493, 0.0063)
O (0.7372, 0.0000, 0.0027)
O (0.7429, 0.5000, 0.4939)
O (0.7447, 0.2553, 0.2518)
O (0.7447, 0.7447, 0.2518)
O (0.7466, 0.0000, 0.4996)
O (0.7485, 0.2515, 0.7504)
O (0.7493, 0.5000, 0.0063)
O (0.7485, 0.7485, 0.7504)

Values from the calculation:
Energy: -8.441 eV/atom
Calculated volume: 603.92 Å³/cell
Uncorrected formation energy: -17637.9 kJ/mol of formula units
Magnetic moment: 0.0 μB/f.u.
Space group: P4mm, No. 99

***

[3]
Here is a crystal of NaLiMg14O15 relaxed with PBEsol from Alexandria. Energies are from meta-GGA SCAN.

Lattice parameters (Å, degrees): 4.2317 8.5125 8.4460 90.00 90.00 90.00
Element x y z (fractional)
Na (0.0000, 0.0000, 0.0000)
Li (0.0000, 0.5000, 0.4733)
Mg (0.0000, 0.0000, 0.4948)
Mg (0.0000, 0.2280, 0.7445)
Mg (0.0000, 0.2489, 0.2530)
Mg (0.0000, 0.5000, 0.0195)
Mg (0.0000, 0.7511, 0.2530)
Mg (0.0000, 0.7720, 0.7445)
Mg (0.5000, 0.0000, 0.2438)
Mg (0.5000, 0.0000, 0.7489)
Mg (0.5000, 0.2478, 0.9955)
Mg (0.5000, 0.2544, 0.4977)
Mg (0.5000, 0.5000, 0.2590)
Mg (0.5000, 0.5000, 0.7427)
Mg (0.5000, 0.7456, 0.4977)
Mg (0.5000, 0.7522, 0.9955)
O (0.0000, 0.0000, 0.2595)
O (0.0000, 0.0000, 0.7343)
O (0.0000, 0.2523, 0.5037)
O (0.0000, 0.2718, 0.9820)
O (0.0000, 0.5000, 0.2494)
O (0.0000, 0.7282, 0.9820)
O (0.0000, 0.7477, 0.5037)
O (0.5000, 0.0000, 0.4994)
O (0.5000, 0.0000, 0.9932)
O (0.5000, 0.2531, 0.2458)
O (0.5000, 0.2587, 0.7459)
O (0.5000, 0.5000, 0.5081)
O (0.5000, 0.5000, 0.9847)
O (0.5000, 0.7413, 0.7459)
O (0.5000, 0.7469, 0.2458)

Values from the calculation:
Energy: -8.251 eV/atom
Calculated volume: 304.24 Å³/cell
Uncorrected formation energy: -8305.1 kJ/mol of formula units
Magnetic moment: 0.1 μB/f.u.
Space group: Pmm2, No. 25

***

[4]
Here is a crystal of Na2LiMgRu relaxed with PBEsol from Alexandria. Energies are from meta-GGA SCAN.

Lattice parameters (Å, degrees): 4.6087 4.6087 4.6725 90.00 90.00 90.00
Element x y z (fractional)
Na (0.0000, 0.5000, 0.0000)
Na (0.5000, 0.0000, 0.0000)
Li (0.0000, 0.0000, 0.0000)
Mg (0.5000, 0.5000, 0.5000)
Ru (0.0000, 0.0000, 0.5000)

Values from the calculation:
Energy: -9.366 eV/atom
Calculated volume: 99.25 Å³/cell
Energy relative to the elements: 758 meV per atom
Magnetic moment: 0.7 μB/f.u.
Space group: P4/mmm, No. 123

***

[5]
Here is a crystal of LiMgNbSb2 relaxed with PBEsol from Alexandria. Energies are from meta-GGA SCAN.

Lattice parameters (Å, degrees): 5.2845 5.2845 5.3244 90.00 90.00 90.00
Element x y z (fractional)
Li (0.0000, 0.0000, 0.0000)
Mg (0.5000, 0.5000, 0.0000)
Nb (0.5000, 0.5000, 0.5000)
Sb (0.0000, 0.5000, 0.5000)
Sb (0.5000, 0.0000, 0.5000)

Values from the calculation:
Energy: -22.799 eV/atom
Calculated volume: 148.69 Å³/cell
Uncorrected formation energy: 98.3 kJ/mol of formula units
Magnetic moment: 0.0 μB/f.u.
Space group: P4/mmm, No. 123

***

[6]
Here is a crystal of LiMg2Ni relaxed with PBEsol from Alexandria. Energies are from meta-GGA SCAN.

Lattice parameters (Å, degrees): 2.8624 4.3083 5.2686 90.00 104.13 90.00
Element x y z (fractional)
Li (0.0000, 0.0000, 0.0000)
Mg (0.3113, 0.0000, 0.5578)
Mg (0.6092, 0.5000, 0.2007)
Ni (0.9096, 0.5000, 0.7400)

Values from the calculation:
Energy: -7.126 eV/atom
Calculated volume: 63.01 Å³/cell
Energy relative to the elements: 1 meV per atom
Magnetic moment: 0.0 μB/f.u.
Space group: Pm, No. 6

***

[7]
Here is a crystal of LiMgNi4 relaxed with PBEsol from Alexandria. Energies are from meta-GGA SCAN.

Lattice parameters (Å, degrees): 4.6922 4.6922 4.6922 60.00 60.00 60.00
Element x y z (fractional)
Li (0.0000, 0.0000, 0.0000)
Mg (0.7500, 0.7500, 0.7500)
Ni (0.3748, 0.3748, 0.3748)
Ni (0.3748, 0.3748, 0.8755)
Ni (0.3748, 0.8755, 0.3748)
Ni (0.8755, 0.3748, 0.3748)

Values from the calculation:
Energy: -12.120 eV/atom
Calculated volume: 73.05 Å³/cell
Energy relative to the elements: -111 meV per atom
Magnetic moment: 0.0 μB/f.u.
Space group: F-43m, No. 216

***

[8]
Here is a crystal of LiMg2Ni relaxed with PBEsol from Alexandria. Energies are from meta-GGA SCAN.

Lattice parameters (Å, degrees): 4.4342 4.4342 3.1362 90.00 90.00 90.00
Element x y z (fractional)
Li (0.0000, 0.0000, 0.0000)
Mg (0.0000, 0.5000, 0.5000)
Mg (0.5000, 0.0000, 0.5000)
Ni (0.5000, 0.5000, 0.0000)

Values from the calculation:
Energy: -7.178 eV/atom
Calculated volume: 61.66 Å³/cell
Energy relative to the elements: -50 meV per atom
Magnetic moment: 0.3 μB/f.u.
Space group: P4/mmm, No. 123

***

> Among the records above, which one has the highest magnetic moment?

Na2LiMgRu

***

> Which of these has the highest energy?

number 6